# Y2InAg, relaxed, DFT PBEsol
# Total DFT energy (no corrections) in eV for the cell shown: -41.43
# Theoretical density in g/cm3: 6.3
data_Y2InAg
_chemical_formula_sum 'Y4 In2 Ag2'
_symmetry_space_group_name_H-M 'C 1 2/m 1'
_symmetry_Int_Tables_number 12
_cell_length_a 9.5363
_cell_length_b 3.6425
_cell_length_c 6.2214
_cell_angle_alpha 90.00
_cell_angle_beta 104.19
_cell_angle_gamma 90.00
loop_
_symmetry_equiv_pos_as_xyz
'x,y,z'
'-x,-y,-z'
'-x,y,-z'
'x,-y,z'
'x+1/2,y+1/2,z'
'-x+1/2,-y+1/2,-z'
'-x+1/2,y+1/2,-z'
'x+1/2,-y+1/2,z'
loop_
_atom_site_label
_atom_site_type_symbol
_atom_site_fract_x
_atom_site_fract_y
_atom_site_fract_z
Y1 Y 0.2422 0.0000 0.2411
In1 In 0.0000 0.0000 0.5000
Ag1 Ag 0.0000 0.5000 0.0000